1.
## Ca2AsRu (PBE-GGA)

Data for crystalline Ca2AsRu at its relaxed geometry.

Computed properties:
Formation energy from the elements ... -179 meV per atom

Unit cell a=5.193 b=5.193 c=5.193 alpha=128.96 beta=128.96 gamma=75.07
Fractional coordinates of all 4 atoms:
As: 0.250 0.750 0.500
Ru: 0.750 0.250 0.500
Ca: 0.500 0.500 0.000
Ca: 0.000 0.000 0.000

2.
## CuSiF3 (PBE-GGA)

Data for crystalline CuSiF3 at its relaxed geometry.

Computed properties:
Offset from the most stable computed form ... 220.6 meV per atom
E_form (uncorrected) ... -0.946 eV per atom

Unit cell a=4.057 b=4.057 c=4.057 alpha=90.00 beta=90.00 gamma=90.00
Site moments in Bohr magnetons follow the coordinates.
Fractional coordinates of all 5 atoms:
F: 0.000 0.000 0.500  0.02
F: 0.500 0.000 0.000  0.07
F: 0.000 0.500 0.000  0.04
Si: 0.500 0.500 0.500  0.10
Cu: 0.000 0.000 0.000  0.48

3.
## Hf2AlIr (PBE-GGA)

Data for crystalline Hf2AlIr at its relaxed geometry.

Computed properties:
Formation energy from the elements ... -596 meV per atom

Unit cell a=3.811 b=4.345 c=4.345 alpha=90.00 beta=90.00 gamma=90.00
Fractional coordinates of all 4 atoms:
Hf: 0.000 0.500 0.000
Hf: 0.000 0.000 0.500
Ir: 0.500 0.500 0.500
Al: 0.500 0.000 0.000

4.
## CePaIr2 (PBE-GGA)

Data for crystalline CePaIr2 at its relaxed geometry.

Computed properties:
Formation energy from the elements ... -624 meV per atom
Offset from the most stable computed form ... 233.5 meV per atom

Unit cell a=4.913 b=4.913 c=4.913 alpha=60.00 beta=60.00 gamma=60.00
Site moments in Bohr magnetons follow the coordinates.
Fractional coordinates of all 4 atoms:
Pa: 0.000 0.000 0.000  0.31
Ir: 0.750 0.750 0.750  -0.03
Ir: 0.250 0.250 0.250  -0.03
Ce: 0.500 0.500 0.500  0.35